A plane-wave DFT calculation with PBE was carried out for a relaxed LiThRe crystal.

As for the excess energy over the best structure of this formula in the dataset: 0 meV/atom.

It has space group F-43m (No. 216), with a = 6.3824 Å, b = 6.3824 Å, c = 6.3824 Å, α = 90.00°, β = 90.00° and γ = 90.00°. The distinct sites, in fractional coordinates, are Li at (0.0000, 0.0000, 0.0000), Th at (0.0000, 0.0000, 0.5000) and Re at (0.2500, 0.2500, 0.7500).

=====

A plane-wave DFT calculation with PBE was carried out for a relaxed GeTePdO crystal.

As for the excess energy over the best structure of this formula in the dataset: 311 meV/atom.

It has space group P4/nmm (No. 129, origin choice 2), with a = 3.7752 Å, b = 3.7752 Å, c = 11.4133 Å, α = 90.00°, β = 90.00° and γ = 90.00°. The distinct sites, in fractional coordinates, are Ge at (0.2500, 0.2500, 0.0945), Te at (0.2500, 0.2500, 0.6685), Pd at (0.2500, 0.7500, 0.5000) and O at (0.2500, 0.2500, 0.9379).

=====

A plane-wave DFT calculation with PBE was carried out for a relaxed KTcSe3 crystal.

The total energy is -4.59 eV per atom.

It has space group P4mm (No. 99), with a = 5.0129 Å, b = 5.0129 Å, c = 5.0150 Å, α = 90.00°, β = 90.00° and γ = 90.00°. The distinct sites, in fractional coordinates, are K at (0.0000, 0.0000, 0.0000), Tc at (0.5000, 0.5000, 0.5018), Se at (0.0000, 0.5000, 0.5015) and Se at (0.5000, 0.5000, 0.0012).

=====

A plane-wave DFT calculation with PBE was carried out for a relaxed CdBi2O4 crystal.

As for the excess energy over the best structure of this formula in the dataset: 14 meV/atom.

It has space group C2/m (No. 12), with a = 11.2572 Å, b = 3.4433 Å, c = 12.7970 Å, α = 90.00°, β = 115.26° and γ = 90.00°. The distinct sites, in fractional coordinates, are Cd at (0.0000, 0.0000, 0.0000), Cd at (0.0000, 0.0000, 0.5000), Bi at (0.1600, 0.5000, 0.3576), Bi at (0.2044, 0.0000, 0.8592), O at (0.0185, 0.0000, 0.3323), O at (0.1285, 0.5000, 0.9650), O at (0.1648, 0.5000, 0.5310) and O at (0.1832, 0.0000, 0.1732).